VPdNO2 | PBE with a Hubbard U | optimized geometry

Lattice parameters (Å, degrees): 4.0577 4.0577 3.7287 90.00 90.00 90.00
Closest atoms and distances in Å follow each position.
Atoms (fractional coordinates):
1 V 0.0000 0.0000 0.0000  8 O 2.76, 4 N 2.87
2 Pd 0.5000 0.5000 0.5000  2 N 1.86, 4 O 2.03
3 N 0.5000 0.5000 0.0000  2 Pd 1.86
4 O 0.0000 0.5000 0.5000  2 Pd 2.03
5 O 0.5000 0.0000 0.5000  2 Pd 2.03

The total energy comes out at -5.436 eV/atom.